Entry 1:
# Fe2AsCl GGA-PBE optimized geometry
# * energy relative to the lowest polymorph listed for this composition: 48.8 kJ/mol of atoms
# * magnetization: 15.01 μB/cell
# * raw formation energy: 0.440 eV per atom
# * DFT total energy: -5.415 eV/atom
data_Fe2AsCl
_chemical_formula_sum 'Fe8 As4 Cl4'
_symmetry_space_group_name_H-M 'F m -3 m'
_symmetry_Int_Tables_number 225
_symmetry_space_group_name_Hall '-F 4 2 3'
_cell_length_a 6.0296
_cell_length_b 6.0296
_cell_length_c 6.0296
_cell_angle_alpha 90.00
_cell_angle_beta 90.00
_cell_angle_gamma 90.00
loop_
_atom_site_label
_atom_site_fract_x
_atom_site_fract_y
_atom_site_fract_z
Fe1 0.2500 0.2500 0.2500
As1 0.0000 0.0000 0.0000
Cl1 0.0000 0.0000 0.5000

Entry 2:
# Fe2AsCl GGA-PBE optimized geometry
# * energy relative to the lowest polymorph listed for this composition: 26.7 kJ/mol of atoms
# * magnetization: 5.61 μB/cell
# * raw formation energy: 0.211 eV per atom
# * DFT total energy: -5.644 eV/atom
data_Fe2AsCl
_chemical_formula_sum 'Fe2 As1 Cl1'
_symmetry_space_group_name_H-M 'P 4/m m m'
_symmetry_Int_Tables_number 123
_symmetry_space_group_name_Hall '-P 4 2'
_cell_length_a 3.1209
_cell_length_b 3.1209
_cell_length_c 6.5673
_cell_angle_alpha 90.00
_cell_angle_beta 90.00
_cell_angle_gamma 90.00
loop_
_atom_site_label
_atom_site_fract_x
_atom_site_fract_y
_atom_site_fract_z
Fe1 0.0000 0.0000 0.1943
As1 0.5000 0.5000 0.0000
Cl1 0.5000 0.5000 0.5000

Entry 3:
# Fe2AsCl GGA-PBE optimized geometry
# * energy relative to the lowest polymorph listed for this composition: 36.0 kJ/mol of atoms
# * magnetization: 10.90 μB/cell
# * raw formation energy: 0.307 eV per atom
# * DFT total energy: -5.548 eV/atom
data_Fe2AsCl
_chemical_formula_sum 'Fe4 As2 Cl2'
_symmetry_space_group_name_H-M 'C m m m'
_symmetry_Int_Tables_number 65
_symmetry_space_group_name_Hall '-C 2 2'
_cell_length_a 3.0854
_cell_length_b 5.3327
_cell_length_c 7.6677
_cell_angle_alpha 90.00
_cell_angle_beta 90.00
_cell_angle_gamma 90.00
loop_
_atom_site_label
_atom_site_fract_x
_atom_site_fract_y
_atom_site_fract_z
Fe1 0.0000 0.0000 0.2455
As1 0.0000 0.5000 0.0000
Cl1 0.0000 0.5000 0.5000

Entry 4:
# FeAsCl2 GGA-PBE optimized geometry
# * energy relative to the lowest polymorph listed for this composition: 2.1 kJ/mol of atoms
# * magnetization: 2.30 μB/cell
# * raw formation energy: -0.211 eV per atom
# * DFT total energy: -4.413 eV/atom
data_FeAsCl2
_chemical_formula_sum 'Fe1 As1 Cl2'
_symmetry_space_group_name_H-M 'P 1 m 1'
_symmetry_Int_Tables_number 6
_symmetry_space_group_name_Hall 'P -2y'
_cell_length_a 4.9242
_cell_length_b 3.2996
_cell_length_c 5.2749
_cell_angle_alpha 90.00
_cell_angle_beta 105.80
_cell_angle_gamma 90.00
loop_
_atom_site_label
_atom_site_fract_x
_atom_site_fract_y
_atom_site_fract_z
Fe1 0.0000 0.0000 0.0000
As1 0.2097 0.5000 0.3275
Cl1 0.5354 0.0000 0.0098
Cl2 0.9109 0.5000 0.6477

Entry 5:
# FeAsCl2 GGA-PBE optimized geometry
# * energy relative to the lowest polymorph listed for this composition: 28.3 kJ/mol of atoms
# * magnetization: 7.61 μB/cell
# * raw formation energy: 0.060 eV per atom
# * DFT total energy: -4.142 eV/atom
data_FeAsCl2
_chemical_formula_sum 'Fe2 As2 Cl4'
_symmetry_space_group_name_H-M 'C m m m'
_symmetry_Int_Tables_number 65
_symmetry_space_group_name_Hall '-C 2 2'
_cell_length_a 3.0824
_cell_length_b 5.9069
_cell_length_c 11.1606
_cell_angle_alpha 90.00
_cell_angle_beta 90.00
_cell_angle_gamma 90.00
loop_
_atom_site_label
_atom_site_fract_x
_atom_site_fract_y
_atom_site_fract_z
Fe1 0.0000 0.0000 0.0000
As1 0.0000 0.0000 0.5000
Cl1 0.0000 0.5000 0.1554

Entry 6:
# FeAsCl2 GGA-PBE optimized geometry
# * energy relative to the lowest polymorph listed for this composition: 78.1 kJ/mol of atoms
# * magnetization: 3.61 μB/cell
# * raw formation energy: 0.576 eV per atom
# * DFT total energy: -3.625 eV/atom
data_FeAsCl2
_chemical_formula_sum 'Fe1 As1 Cl2'
_symmetry_space_group_name_H-M 'P 4/m m m'
_symmetry_Int_Tables_number 123
_symmetry_space_group_name_Hall '-P 4 2'
_cell_length_a 4.4733
_cell_length_b 4.4733
_cell_length_c 3.7997
_cell_angle_alpha 90.00
_cell_angle_beta 90.00
_cell_angle_gamma 90.00
loop_
_atom_site_label
_atom_site_fract_x
_atom_site_fract_y
_atom_site_fract_z
Fe1 0.0000 0.0000 0.0000
As1 0.5000 0.5000 0.0000
Cl1 0.0000 0.5000 0.5000

Entry 7:
# FeAsCl GGA-PBE optimized geometry
# * energy relative to the lowest polymorph listed for this composition: 15.6 kJ/mol of atoms
# * magnetization: 0.08 μB/cell
# * raw formation energy: -0.047 eV per atom
# * DFT total energy: -5.033 eV/atom
data_FeAsCl
_chemical_formula_sum 'Fe1 As1 Cl1'
_symmetry_space_group_name_H-M 'P 3 m 1'
_symmetry_Int_Tables_number 156
_symmetry_space_group_name_Hall 'P 3 -2"'
_cell_length_a 3.5440
_cell_length_b 3.5440
_cell_length_c 5.6013
_cell_angle_alpha 90.00
_cell_angle_beta 90.00
_cell_angle_gamma 120.00
loop_
_atom_site_label
_atom_site_fract_x
_atom_site_fract_y
_atom_site_fract_z
Fe1 0.0000 0.0000 0.0000
As1 0.3333 0.6667 0.1625
Cl1 0.6667 0.3333 0.7335

Entry 8:
# FeAsCl2 GGA-PBE optimized geometry
# * energy relative to the lowest polymorph listed for this composition: 76.1 kJ/mol of atoms
# * magnetization: 10.17 μB/cell
# * raw formation energy: 0.556 eV per atom
# * DFT total energy: -3.646 eV/atom
data_FeAsCl2
_chemical_formula_sum 'Fe4 As4 Cl8'
_symmetry_space_group_name_H-M 'F m -3 m'
_symmetry_Int_Tables_number 225
_symmetry_space_group_name_Hall '-F 4 2 3'
_cell_length_a 6.6226
_cell_length_b 6.6226
_cell_length_c 6.6226
_cell_angle_alpha 90.00
_cell_angle_beta 90.00
_cell_angle_gamma 90.00
loop_
_atom_site_label
_atom_site_fract_x
_atom_site_fract_y
_atom_site_fract_z
Fe1 0.0000 0.0000 0.0000
As1 0.0000 0.0000 0.5000
Cl1 0.2500 0.2500 0.2500

Entry 9:
# Fe3AsCl GGA-PBE optimized geometry
# * energy relative to the lowest polymorph listed for this composition: 8.1 kJ/mol of atoms
# * magnetization: 7.17 μB/cell
# * raw formation energy: 0.820 eV per atom
# * DFT total energy: -5.557 eV/atom
data_Fe3AsCl
_chemical_formula_sum 'Fe3 As1 Cl1'
_symmetry_space_group_name_H-M 'P m -3 m'
_symmetry_Int_Tables_number 221
_symmetry_space_group_name_Hall '-P 4 2 3'
_cell_length_a 4.2369
_cell_length_b 4.2369
_cell_length_c 4.2369
_cell_angle_alpha 90.00
_cell_angle_beta 90.00
_cell_angle_gamma 90.00
loop_
_atom_site_label
_atom_site_fract_x
_atom_site_fract_y
_atom_site_fract_z
Fe1 0.0000 0.0000 0.5000
As1 0.5000 0.5000 0.5000
Cl1 0.0000 0.0000 0.0000

Entry 10:
# FeAsCl2 GGA-PBE optimized geometry
# * energy relative to the lowest polymorph listed for this composition: 21.8 kJ/mol of atoms
# * magnetization: 6.17 μB/cell
# * raw formation energy: -0.007 eV per atom
# * DFT total energy: -4.208 eV/atom
data_FeAsCl2
_chemical_formula_sum 'Fe2 As2 Cl4'
_symmetry_space_group_name_H-M 'C m m 2'
_symmetry_Int_Tables_number 35
_symmetry_space_group_name_Hall 'C 2 -2'
_cell_length_a 3.2856
_cell_length_b 5.9869
_cell_length_c 8.9727
_cell_angle_alpha 90.00
_cell_angle_beta 90.00
_cell_angle_gamma 90.00
loop_
_atom_site_label
_atom_site_fract_x
_atom_site_fract_y
_atom_site_fract_z
Fe1 0.0000 0.0000 0.0000
As1 0.0000 0.5000 0.2014
Cl1 0.0000 0.0000 0.4284
Cl2 0.0000 0.5000 0.8223

Entry 11:
# FeAsCl2 GGA-PBE optimized geometry
# * energy relative to the lowest polymorph listed for this composition: 43.7 kJ/mol of atoms
# * magnetization: 6.37 μB/cell
# * raw formation energy: 0.220 eV per atom
# * DFT total energy: -3.981 eV/atom
data_FeAsCl2
_chemical_formula_sum 'Fe2 As2 Cl4'
_symmetry_space_group_name_H-M 'C m m m'
_symmetry_Int_Tables_number 65
_symmetry_space_group_name_Hall '-C 2 2'
_cell_length_a 5.9290
_cell_length_b 6.5629
_cell_length_c 4.0102
_cell_angle_alpha 90.00
_cell_angle_beta 90.00
_cell_angle_gamma 90.00
loop_
_atom_site_label
_atom_site_fract_x
_atom_site_fract_y
_atom_site_fract_z
Fe1 0.0000 0.0000 0.0000
As1 0.0000 0.5000 0.0000
Cl1 0.0000 0.2241 0.5000

Entry 12:
# FeAsCl4 GGA-PBE optimized geometry
# * magnetization: 17.45 μB/cell
# * raw formation energy: 1.054 eV per atom
# * DFT total energy: -2.362 eV/atom
data_FeAsCl4
_chemical_formula_sum 'Fe4 As4 Cl16'
_symmetry_space_group_name_H-M 'F -4 3 m'
_symmetry_Int_Tables_number 216
_symmetry_space_group_name_Hall 'F -4 2 3'
_cell_length_a 8.1265
_cell_length_b 8.1265
_cell_length_c 8.1265
_cell_angle_alpha 90.00
_cell_angle_beta 90.00
_cell_angle_gamma 90.00
loop_
_atom_site_label
_atom_site_fract_x
_atom_site_fract_y
_atom_site_fract_z
Fe1 0.0000 0.0000 0.0000
As1 0.2500 0.2500 0.7500
Cl1 0.1258 0.1258 0.3742

Entry 13:
# Fe2AsCl GGA-PBE optimized geometry
# * energy relative to the lowest polymorph listed for this composition: 33.3 kJ/mol of atoms
# * magnetization: 19.73 μB/cell
# * raw formation energy: 0.279 eV per atom
# * DFT total energy: -5.577 eV/atom
data_Fe2AsCl
_chemical_formula_sum 'Fe8 As4 Cl4'
_symmetry_space_group_name_H-M 'I -4 2 d'
_symmetry_Int_Tables_number 122
_symmetry_space_group_name_Hall 'I -4 2bw'
_cell_length_a 5.6993
_cell_length_b 5.6993
_cell_length_c 9.2891
_cell_angle_alpha 90.00
_cell_angle_beta 90.00
_cell_angle_gamma 90.00
loop_
_atom_site_label
_atom_site_fract_x
_atom_site_fract_y
_atom_site_fract_z
Fe1 0.2478 0.2500 0.1250
As1 0.0000 0.0000 0.5000
Cl1 0.0000 0.0000 0.0000

Entry 14:
# Fe2AsCl GGA-PBE optimized geometry
# * energy relative to the lowest polymorph listed for this composition: 0.0 kJ/mol of atoms
# * magnetization: 4.81 μB/cell
# * raw formation energy: -0.066 eV per atom
# * DFT total energy: -5.921 eV/atom
data_Fe2AsCl
_chemical_formula_sum 'Fe2 As1 Cl1'
_symmetry_space_group_name_H-M 'P m m 2'
_symmetry_Int_Tables_number 25
_symmetry_space_group_name_Hall 'P 2 -2'
_cell_length_a 3.2933
_cell_length_b 3.6528
_cell_length_c 6.5466
_cell_angle_alpha 90.00
_cell_angle_beta 90.00
_cell_angle_gamma 90.00
loop_
_atom_site_label
_atom_site_fract_x
_atom_site_fract_y
_atom_site_fract_z
Fe1 0.0000 0.0000 0.0000
Fe2 0.5000 0.5000 0.0207
As1 0.0000 0.5000 0.7507
Cl1 0.5000 0.0000 0.2733

Entry 15:
# Fe2AsCl GGA-PBE optimized geometry
# * energy relative to the lowest polymorph listed for this composition: 25.4 kJ/mol of atoms
# * magnetization: 16.17 μB/cell
# * raw formation energy: 0.198 eV per atom
# * DFT total energy: -5.658 eV/atom
data_Fe2AsCl
_chemical_formula_sum 'Fe6 As3 Cl3'
_symmetry_space_group_name_H-M 'R -3 m'
_symmetry_Int_Tables_number 166
_symmetry_space_group_name_Hall '-R 3 2"'
_cell_length_a 3.1244
_cell_length_b 3.1244
_cell_length_c 21.6999
_cell_angle_alpha 90.00
_cell_angle_beta 90.00
_cell_angle_gamma 120.00
loop_
_atom_site_label
_atom_site_fract_x
_atom_site_fract_y
_atom_site_fract_z
Fe1 0.0000 0.0000 0.2469
As1 0.0000 0.0000 0.5000
Cl1 0.0000 0.0000 0.0000

Entry 16:
# FeAsCl2 GGA-PBE optimized geometry
# * energy relative to the lowest polymorph listed for this composition: 4.2 kJ/mol of atoms
# * magnetization: 3.59 μB/cell
# * raw formation energy: -0.190 eV per atom
# * DFT total energy: -4.391 eV/atom
data_FeAsCl2
_chemical_formula_sum 'Fe2 As2 Cl4'
_symmetry_space_group_name_H-M 'A m m 2'
_symmetry_Int_Tables_number 38
_symmetry_space_group_name_Hall 'A 2 -2'
_cell_length_a 3.4095
_cell_length_b 4.8189
_cell_length_c 9.6069
_cell_angle_alpha 90.00
_cell_angle_beta 90.00
_cell_angle_gamma 90.00
loop_
_atom_site_label
_atom_site_fract_x
_atom_site_fract_y
_atom_site_fract_z
Fe1 0.0000 0.0000 0.0000
As1 0.5000 0.0000 0.1641
Cl1 0.0000 0.0000 0.4834
Cl2 0.5000 0.0000 0.8129

Entry 17:
# KFeAsCl6 GGA-PBE optimized geometry
# * magnetization: 8.00 μB/cell
# * raw formation energy: -0.962 eV per atom
# * DFT total energy: -3.771 eV/atom
data_KFeAsCl6
_chemical_formula_sum 'K2 Fe2 As2 Cl12'
_symmetry_space_group_name_H-M 'C 1 2 1'
_symmetry_Int_Tables_number 5
_symmetry_space_group_name_Hall 'C 2y'
_cell_length_a 6.5516
_cell_length_b 11.3464
_cell_length_c 6.9505
_cell_angle_alpha 90.00
_cell_angle_beta 90.13
_cell_angle_gamma 90.00
loop_
_atom_site_label
_atom_site_fract_x
_atom_site_fract_y
_atom_site_fract_z
K1 0.0000 0.0000 0.0000
Fe1 0.0000 0.6672 0.5000
As1 0.0000 0.3335 0.5000
Cl1 0.1231 0.5021 0.7055
Cl2 0.1836 0.8112 0.7045
Cl3 0.1910 0.1855 0.7041

Entry 18:
# MgFeAsCl2 GGA-PBE optimized geometry
# * magnetization: 3.61 μB/cell
# * raw formation energy: 0.484 eV per atom
# * DFT total energy: -3.196 eV/atom
data_MgFeAsCl2
_chemical_formula_sum 'Mg1 Fe1 As1 Cl2'
_symmetry_space_group_name_H-M 'P 4/m m m'
_symmetry_Int_Tables_number 123
_symmetry_space_group_name_Hall '-P 4 2'
_cell_length_a 5.0652
_cell_length_b 5.0652
_cell_length_c 5.3056
_cell_angle_alpha 90.00
_cell_angle_beta 90.00
_cell_angle_gamma 90.00
loop_
_atom_site_label
_atom_site_fract_x
_atom_site_fract_y
_atom_site_fract_z
Mg1 0.0000 0.0000 0.0000
Fe1 0.5000 0.5000 0.0000
As1 0.0000 0.0000 0.5000
Cl1 0.0000 0.5000 0.5000

Entry 19:
# FeAsPCl2 GGA-PBE optimized geometry
# * energy relative to the lowest polymorph listed for this composition: 0.0 kJ/mol of atoms
# * magnetization: 0.00 μB/cell
# * raw formation energy: 0.443 eV per atom
# * DFT total energy: -4.000 eV/atom
data_FeAsPCl2
_chemical_formula_sum 'Fe1 As1 P1 Cl2'
_symmetry_space_group_name_H-M 'P 4/m m m'
_symmetry_Int_Tables_number 123
_symmetry_space_group_name_Hall '-P 4 2'
_cell_length_a 4.4189
_cell_length_b 4.4189
_cell_length_c 4.6859
_cell_angle_alpha 90.00
_cell_angle_beta 90.00
_cell_angle_gamma 90.00
loop_
_atom_site_label
_atom_site_fract_x
_atom_site_fract_y
_atom_site_fract_z
Fe1 0.0000 0.0000 0.0000
As1 0.5000 0.5000 0.5000
P1 0.0000 0.0000 0.5000
Cl1 0.0000 0.5000 0.0000

Entry 20:
# FeAsPCl2 GGA-PBE optimized geometry
# * energy relative to the lowest polymorph listed for this composition: 29.4 kJ/mol of atoms
# * magnetization: 4.07 μB/cell
# * raw formation energy: 0.748 eV per atom
# * DFT total energy: -3.695 eV/atom
data_FeAsPCl2
_chemical_formula_sum 'Fe1 As1 P1 Cl2'
_symmetry_space_group_name_H-M 'P 4/m m m'
_symmetry_Int_Tables_number 123
_symmetry_space_group_name_Hall '-P 4 2'
_cell_length_a 4.8434
_cell_length_b 4.8434
_cell_length_c 5.0344
_cell_angle_alpha 90.00
_cell_angle_beta 90.00
_cell_angle_gamma 90.00
loop_
_atom_site_label
_atom_site_fract_x
_atom_site_fract_y
_atom_site_fract_z
Fe1 0.0000 0.0000 0.0000
As1 0.5000 0.5000 0.5000
P1 0.5000 0.5000 0.0000
Cl1 0.0000 0.5000 0.5000